First-principles (GGA-PBE) data for an optimized crystal structure of Sm5NpSe6, as listed in the Alexandria database.

Magnetization ... 4.60 μB/cell
Calculated volume ... 305.9 Å³/cell
Energy relative to the elements, uncorrected ... -1.694 eV/atom
Density ... 7.94 g/cm3

Lattice parameters (Å, degrees): 7.200 7.200 7.225 99.56 99.56 119.99
Atoms (fractional coordinates):
1 Sm 0.000 0.000 0.000
2 Sm 0.168 0.832 0.500
3 Sm 0.329 0.671 0.000
4 Sm 0.671 0.329 0.000
5 Sm 0.832 0.168 0.500
6 Np 0.500 0.500 0.500
7 Se 0.088 0.417 0.252
8 Se 0.253 0.253 0.750
9 Se 0.417 0.088 0.252
10 Se 0.583 0.912 0.748
11 Se 0.747 0.747 0.250
12 Se 0.912 0.583 0.748